Mg2WSe | Alexandria via LeMat-Bulk | PBE | relaxed; formation energy (no corrections) = 0.467 eV/atom; V = 17.6 Å³ per atom; space group = No. 139; E_tot = -4.439 eV per atom
1.0
-1.9308 1.9308 4.7131
1.9308 -1.9308 4.7131
1.9308 1.9308 -4.7131
Mg W Se
2 1 1
direct
0.2500 0.7500 0.5000
0.7500 0.2500 0.5000
0.0000 0.0000 0.0000
0.5000 0.5000 0.0000